Density functional theory data (PBE-GGA) for a geometry-optimized TaVB4 structure.

a b c (Å): 5.938 5.938 5.938
angles (deg): 90.00 90.00 90.00
Space group F-43m (No. 216)
Asymmetric unit:
Ta 0.000 0.000 0.000
V 0.250 0.250 0.250
B 0.112 0.112 0.612

- electronic total energy (eV/atom) = -7.864
- energy of formation (eV/atom) = 0.08